Entry from Alexandria via LeMat-Bulk: a geometry-optimized BaSnPd2I structure (GGA-PBE).

```
BaSnPd2I
1.0
-0.218 -2.633 4.367
5.847 1.711 1.324
-1.758 4.142 2.410
I Ba Pd Sn
1 1 2 1
direct
0.000 0.000 0.000
0.500 0.500 0.500
0.000 0.000 0.500
0.500 0.000 0.000
0.000 0.500 0.000
```

Calculated values
total moment	0.000	μB/f.u.
formation energy (no corrections)	0.079	eV per atom
calculated total energy	-17.46	eV/cell

***

Entry from Alexandria via LeMat-Bulk: a geometry-optimized KGe12Ir4 structure (GGA-PBE).

```
KGe12Ir4
1.0
7.581 0.000 0.000
-2.527 7.147 0.000
-2.527 -3.574 6.190
K Ge Ir
1 12 4
direct
0.000 0.000 0.000
0.844 0.352 0.196
0.352 0.508 0.156
0.804 0.156 0.648
0.352 0.196 0.844
0.196 0.844 0.352
0.648 0.492 0.844
0.508 0.156 0.352
0.492 0.844 0.648
0.648 0.804 0.156
0.844 0.648 0.492
0.156 0.352 0.508
0.156 0.648 0.804
0.000 0.500 0.000
0.500 0.000 0.000
0.500 0.500 0.500
0.000 0.000 0.500
```

Calculated values
formation energy from the elements	-0.08	eV per atom
total moment	0.000	μB/f.u.
calculated total energy	-93.35	eV/cell

***

Entry from Alexandria via LeMat-Bulk: a geometry-optimized HoSnIr4 structure (GGA-PBE).

```
HoSnIr4
1.0
-0.392 -0.711 5.269
2.098 -4.346 2.267
4.333 0.426 3.077
Ir Ho Sn
4 1 1
direct
0.625 0.625 0.124
0.625 0.124 0.625
0.625 0.625 0.625
0.124 0.625 0.625
0.250 0.250 0.250
0.000 0.000 0.000
```

Calculated values
formation energy from the elements	-0.35	eV per atom
total moment	0.000	μB/f.u.
calculated total energy	-46.11	eV/cell

***

Entry from Alexandria via LeMat-Bulk: a geometry-optimized NdTmBiSe structure (GGA-PBE).

```
NdTmBiSe
1.0
4.218 0.000 0.000
-2.108 3.654 0.000
-2.108 -1.218 7.595
Nd Tm Bi Se
1 1 1 1
direct
0.973 0.385 0.373
0.298 0.547 0.860
0.125 0.961 0.101
0.482 0.139 0.636
```

Calculated values
total moment	0.627	μB/f.u.
formation energy (no corrections)	-1.199	eV per atom
calculated total energy	-21.40	eV/cell

***

Entry from Alexandria via LeMat-Bulk: a geometry-optimized Zr2CdCl structure (GGA-PBE).

```
Zr2CdCl
1.0
-5.335 -1.628 1.860
-3.580 -1.608 4.379
-3.316 4.145 2.277
Cd Cl Zr
1 1 2
direct
0.250 0.250 0.250
0.750 0.750 0.750
0.030 0.030 0.997
0.470 0.470 0.503
```

Calculated values
total moment	0.000	μB/f.u.
formation energy (no corrections)	-0.252	eV per atom
distance to the lowest polymorph of the same formula	0.267	eV/atom
calculated total energy	-20.87	eV/cell

***

Entry from Alexandria via LeMat-Bulk: a geometry-optimized PmErTm2P4 structure (GGA-PBE).

```
PmErTm2P4
1.0
-1.152 1.989 -3.277
0.136 -5.900 -3.629
-6.298 0.877 2.746
Pm Er Tm P
1 1 2 4
direct
0.500 0.500 0.000
0.000 0.000 0.000
0.500 0.000 0.500
0.000 0.500 0.500
0.500 0.247 0.255
0.500 0.753 0.745
0.000 0.243 0.742
0.000 0.757 0.258
```

Calculated values
formation energy from the elements	-1.59	eV per atom
total moment	0.000	μB/f.u.
calculated total energy	-52.59	eV/cell

***

Entry from Alexandria via LeMat-Bulk: a geometry-optimized PmEuIrPb structure (GGA-PBE).

```
PmEuIrPb
1.0
-1.393 5.047 -0.608
-0.995 1.897 -4.816
-4.937 1.223 -1.383
Pb Eu Ir Pm
1 1 1 1
direct
0.000 0.000 0.000
0.750 0.750 0.750
0.500 0.500 0.500
0.250 0.250 0.250
```

Calculated values
formation energy from the elements	-0.33	eV per atom
total moment	6.875	μB/f.u.
calculated total energy	-28.92	eV/cell

***

Entry from Alexandria via LeMat-Bulk: a geometry-optimized BaZn2AgCl8 structure (GGA-PBE).

```
BaZn2AgCl8
1.0
-2.802 2.469 5.065
-4.387 -3.291 3.087
3.970 -3.831 7.974
Ba Zn Ag Cl
1 2 1 8
direct
0.500 0.500 0.500
0.255 0.255 0.236
0.745 0.745 0.764
0.000 0.000 0.000
0.170 0.170 0.491
0.617 0.292 0.175
0.830 0.830 0.509
0.915 0.617 0.175
0.085 0.383 0.825
0.292 0.915 0.175
0.708 0.085 0.825
0.383 0.708 0.825
```

Calculated values
total moment	1.028	μB/f.u.
formation energy (no corrections)	-1.205	eV per atom
calculated total energy	-36.55	eV/cell

***

Entry from Alexandria via LeMat-Bulk: a geometry-optimized Nd3Sm5Sc2 structure (GGA-PBE).

```
Nd3Sm5Sc2
1.0
8.332 1.877 -4.031
0.662 8.472 -4.125
-1.885 -2.036 10.924
Nd Sm Sc
6 10 4
direct
0.179 0.926 0.953
0.821 0.074 0.047
0.769 0.528 0.350
0.231 0.472 0.650
0.973 0.730 0.151
0.027 0.270 0.849
0.325 0.575 0.053
0.675 0.425 0.947
0.075 0.824 0.553
0.573 0.322 0.546
0.925 0.176 0.447
0.427 0.678 0.454
0.870 0.629 0.750
0.130 0.371 0.250
0.381 0.119 0.750
0.619 0.881 0.250
0.717 0.977 0.645
0.283 0.023 0.355
0.523 0.780 0.853
0.477 0.220 0.147
```

Calculated values
formation energy from the elements	0.04	eV per atom
total moment	0.000	μB/f.u.
calculated total energy	-100.31	eV/cell

***

Entry from Alexandria via LeMat-Bulk: a geometry-optimized Ho4TlCdHg2 structure (GGA-PBE).

```
Ho4TlCdHg2
1.0
-5.213 -0.559 -0.455
-2.361 -4.303 1.898
-3.616 2.347 8.116
Ho Tl Cd Hg
4 1 1 2
direct
0.376 0.376 0.873
0.875 0.875 0.375
0.125 0.125 0.625
0.624 0.624 0.127
0.000 0.000 0.000
0.500 0.500 0.500
0.755 0.755 0.736
0.245 0.245 0.264
```

Calculated values
formation energy from the elements	-0.40	eV per atom
total moment	0.001	μB/f.u.
calculated total energy	-25.37	eV/cell

***

Entry from Alexandria via LeMat-Bulk: a geometry-optimized LiCdIr structure (GGA-PBE).

```
LiCdIr
1.0
4.874 0.000 0.000
2.292 4.302 0.000
-3.068 -3.009 2.300
Cd Ir Li
1 1 1
direct
0.997 0.997 0.000
0.332 0.332 0.000
0.672 0.672 0.000
```

Calculated values
formation energy from the elements	0.00	eV per atom
total moment	0.434	μB/f.u.
distance to the lowest polymorph of the same formula	0.020	eV/atom
calculated total energy	-11.68	eV/cell

***

Entry from Alexandria via LeMat-Bulk: a geometry-optimized PmGa2IrRu structure (GGA-PBE).

```
PmGa2IrRu
1.0
4.382 0.000 0.000
0.000 4.382 0.000
-2.191 -2.191 4.861
Pm Ga Ir Ru
1 2 1 1
direct
0.000 0.000 0.000
0.632 0.632 0.263
0.368 0.368 0.737
0.750 0.250 0.500
0.250 0.750 0.500
```

Calculated values
formation energy from the elements	-0.57	eV per atom
total moment	0.000	μB/f.u.
calculated total energy	-31.80	eV/cell